Entry from Alexandria via LeMat-Bulk: crystalline GePtW3 at its relaxed geometry (GGA-PBEsol).

Results
The value obtained for the electronic total energy is -8.927 eV per atom.

Unit cell a=4.4907 b=4.4907 c=4.4907 alpha=90.00 beta=90.00 gamma=90.00
Closest atoms and distances in Å follow each position.
Space group Pm-3m (No. 221)
One atom of each set of equivalent atoms:
Ge1 0.0000 0.0000 0.0000 x1  6 W 2.25
Pt1 0.5000 0.5000 0.5000 x1  12 W 3.18
W1 0.0000 0.0000 0.5000 x3  2 Ge 2.25

Entry from Alexandria via LeMat-Bulk: crystalline HPb3ClO3 at its relaxed geometry (GGA-PBEsol).

Results
The value obtained for the electronic total energy is -5.254 eV per atom.

Unit cell a=5.8015 b=6.8947 c=15.0041 alpha=90.00 beta=90.00 gamma=90.00
Closest atoms and distances in Å follow each position.
Space group Pmc2_1 (No. 26)
One atom of each set of equivalent atoms:
H1 0.0000 0.2130 0.0000 x2  1 O 1.00
H2 0.5000 0.2221 0.2919 x2  1 O 0.99
Pb1 0.0000 0.0644 0.8289 x2  3 O 2.26-2.35
Pb2 0.0000 0.3854 0.4916 x2  3 O 2.22-2.33
Pb3 0.0000 0.4681 0.2214 x2  4 O 2.38-2.39
Pb4 0.5000 0.2069 0.6448 x2  4 O 2.39
Pb5 0.5000 0.2844 0.0991 x2  3 O 2.28-2.35
Pb6 0.5000 0.4006 0.8621 x2  3 O 2.20-2.42
Cl1 0.0000 0.0375 0.1164 x2  1 H 2.12
Cl2 0.5000 0.0420 0.4168 x2  1 H 2.25
O1 0.0000 0.2929 0.9446 x2  1 H 1.00
O2 0.2488 0.4622 0.5982 x4  4 Pb 2.22-2.39
O3 0.2502 0.2776 0.7670 x4  4 Pb 2.20-2.39
O4 0.5000 0.3395 0.2536 x2  1 H 0.99

Entry from Alexandria via LeMat-Bulk: crystalline CuNi2Os at its relaxed geometry (GGA-PBEsol).

Results
As for the energy above the most stable polymorph in this dataset: 95 kJ/mol of formula units.

Unit cell a=2.7030 b=4.2624 c=8.2912 alpha=90.00 beta=90.00 gamma=90.00
Closest atoms and distances in Å follow each position.
Space group Cmm2 (No. 35)
One atom of each set of equivalent atoms:
Cu1 0.0000 0.0000 0.0000 x2  2 Ni 2.41, 4 Cu 2.52, 2 Os 2.61
Ni1 0.0000 0.0000 0.5227 x2  6 Ni 2.38-2.52, 2 Os 2.50
Ni2 0.0000 0.5000 0.7591 x2  6 Ni 2.38-2.52, 2 Cu 2.41
Os1 0.0000 0.5000 0.2698 x2  2 Ni 2.50, 6 Os 2.52-2.70, 2 Cu 2.61

Entry from Alexandria via LeMat-Bulk: crystalline SrAl2Te at its relaxed geometry (GGA-PBEsol).

Results
The value obtained for the electronic total energy is -3.727 eV per atom.

Unit cell a=4.3194 b=4.0028 c=6.2151 alpha=90.00 beta=95.11 gamma=90.00
Closest atoms and distances in Å follow each position.
Space group Pm (No. 6)
One atom of each set of equivalent atoms:
Sr1 0.0000 0.0000 0.0000 x1  4 Al 3.23-3.38, 4 Te 3.26
Al1 0.0574 0.5000 0.4094 x1  1 Te 2.76, 4 Al 2.93-2.96
Al2 0.5622 0.0000 0.4147 x1  4 Al 2.93-2.96, 2 Te 3.05
Te1 0.4722 0.5000 0.7746 x1  3 Al 2.76-3.05

Entry from Alexandria via LeMat-Bulk: crystalline AlGaSb3 at its relaxed geometry (GGA-PBEsol).

Results
The value obtained for the electronic total energy is -3.549 eV per atom.

Unit cell a=5.2310 b=5.2310 c=5.2310 alpha=90.00 beta=90.00 gamma=90.00
Closest atoms and distances in Å follow each position.
Space group Pm-3m (No. 221)
One atom of each set of equivalent atoms:
Al1 0.0000 0.0000 0.0000 x1  12 Sb 3.70
Ga1 0.5000 0.5000 0.5000 x1  6 Sb 2.62
Sb1 0.0000 0.5000 0.5000 x3  2 Ga 2.62

Entry from Alexandria via LeMat-Bulk: crystalline RbHfBi2Au at its relaxed geometry (GGA-PBEsol).

Results
The value obtained for the electronic total energy is -3.090 eV per atom.

Unit cell a=5.6994 b=5.6994 c=5.2443 alpha=90.00 beta=90.00 gamma=90.00
Closest atoms and distances in Å follow each position.
Space group P4/mmm (No. 123)
One atom of each set of equivalent atoms:
Rb1 0.0000 0.0000 0.0000 x1  2 Au 2.62, 4 Bi 2.85
Hf1 0.5000 0.5000 0.5000 x1  8 Bi 3.87, 4 Au 4.03
Bi1 0.0000 0.5000 0.0000 x2  2 Rb 2.85
Au1 0.0000 0.0000 0.5000 x1  2 Rb 2.62

Entry from Alexandria via LeMat-Bulk: crystalline HgRu2 at its relaxed geometry (GGA-PBEsol).

Results
The value obtained for the electronic total energy is -6.692 eV per atom.

Unit cell a=2.7949 b=2.7949 c=11.8636 alpha=90.00 beta=90.00 gamma=90.00
Closest atoms and distances in Å follow each position.
Space group I4/mmm (No. 139)
One atom of each set of equivalent atoms:
Hg1 0.0000 0.0000 0.0000 x2  4 Hg 2.79, 8 Ru 2.94
Ru1 0.0000 0.0000 0.3168 x4  8 Ru 2.53-2.79

Entry from Alexandria via LeMat-Bulk: crystalline CrReW2 at its relaxed geometry (GGA-PBEsol).

Results
As for the energy above the most stable polymorph in this dataset: 0 kJ/mol of formula units.

Unit cell a=3.0544 b=3.0544 c=6.1489 alpha=90.00 beta=90.00 gamma=90.00
Closest atoms and distances in Å follow each position.
Space group P4/mmm (No. 123)
One atom of each set of equivalent atoms:
Cr1 0.0000 0.0000 0.0000 x1  8 W 2.60
Re1 0.0000 0.0000 0.5000 x1  8 W 2.70
W1 0.5000 0.5000 0.2364 x2  4 Cr 2.60, 4 Re 2.70, 1 W 2.91

Entry from Alexandria via LeMat-Bulk: crystalline ErAl3B4O12 at its relaxed geometry (GGA-PBEsol).

Results
The value obtained for the electronic total energy is -8.293 eV per atom.

Unit cell a=9.2905 b=9.2905 c=7.1805 alpha=90.00 beta=90.00 gamma=120.00
Closest atoms and distances in Å follow each position.
Space group R32 (No. 155, hexagonal axes)
One atom of each set of equivalent atoms:
Er1 0.0000 0.0000 0.0000 x3  6 O 2.30
Al1 0.0000 0.4445 0.0000 x9  6 O 1.87-1.92
B1 0.0000 0.0000 0.5000 x3  3 O 1.38
B2 0.0000 0.5562 0.5000 x9  3 O 1.37-1.38
O1 0.0000 0.1490 0.5000 x9  1 B 1.38
O2 0.0000 0.4078 0.5000 x9  1 B 1.38
O3 0.0328 0.8175 0.1863 x18  1 B 1.37

Entry from Alexandria via LeMat-Bulk: crystalline BaHg2Bi2 at its relaxed geometry (GGA-PBEsol).

Results
As for the energy above the most stable polymorph in this dataset: 0 kJ/mol of formula units.

Unit cell a=8.8004 b=8.8004 c=3.8155 alpha=90.00 beta=90.00 gamma=90.00
Closest atoms and distances in Å follow each position.
Space group P4/mbm (No. 127)
One atom of each set of equivalent atoms:
Ba1 0.0000 0.0000 0.0000 x2  4 Hg 3.52, 8 Bi 3.75, 2 Ba 3.82
Hg1 0.1174 0.3826 0.0000 x4  1 Hg 2.92, 2 Bi 3.14
Bi1 0.1821 0.6821 0.5000 x4  6 Hg 3.14-3.30

Entry from Alexandria via LeMat-Bulk: crystalline LiLu2Pt at its relaxed geometry (GGA-PBEsol).

Results
The value obtained for the electronic total energy is -5.397 eV per atom.

Unit cell a=6.7825 b=6.7825 c=6.7825 alpha=90.00 beta=90.00 gamma=90.00
Closest atoms and distances in Å follow each position.
Space group Fm-3m (No. 225)
One atom of each set of equivalent atoms:
Li1 0.0000 0.0000 0.0000 x4  8 Lu 2.94
Lu1 0.2500 0.2500 0.2500 x8  4 Li 2.94, 4 Pt 2.94
Pt1 0.0000 0.0000 0.5000 x4  8 Lu 2.94

Entry from Alexandria via LeMat-Bulk: crystalline CaEuS2 at its relaxed geometry (GGA-PBEsol).

Results
The value obtained for the electronic total energy is -7.564 eV per atom.

Unit cell a=4.0304 b=4.0304 c=19.7338 alpha=90.00 beta=90.00 gamma=120.00
Closest atoms and distances in Å follow each position.
Space group R-3m (No. 166, hexagonal axes)
One atom of each set of equivalent atoms:
Ca1 0.0000 0.0000 0.0000 x3  6 S 2.83
Eu1 0.0000 0.0000 0.5000 x3  6 S 2.87
S1 0.0000 0.0000 0.2517 x6  3 Ca 2.83, 3 Eu 2.87